Record 1
A plane-wave DFT calculation with GGA-PBE was carried out for a relaxed KCd2In crystal.

Results
**ρ**: 4.658 Mg/m³
**Symmetry**: R3m, No. 160
**Calculated formation energy**: -1.47 kcal/mol of atoms
**Raw total energy**: -1.4805 eV per atom

a b c (Å): 5.012 5.012 6.847
angles (deg): 68.53 68.53 60.00
Positions (direct):
Cd 0.990 0.990 0.031
Cd 0.302 0.302 0.094
K 0.502 0.502 0.494
In 0.706 0.706 0.881

=====

Record 2
A plane-wave DFT calculation with GGA-PBE was carried out for a relaxed KCd4In crystal.

Results
**ρ**: 6.080 Mg/m³
**Energy above the lowest structure with this stoichiometry**: 5 meV per atom
**Symmetry**: F-43m, No. 216
**Calculated formation energy**: -0.55 kcal/mol of atoms
**Raw total energy**: -1.2732 eV per atom

a b c (Å): 6.154 6.154 6.154
angles (deg): 60.00 60.00 60.00
Positions (direct):
Cd 0.625 0.625 0.126
K 0.000 0.000 0.000
Cd 0.625 0.126 0.625
Cd 0.126 0.625 0.625
In 0.250 0.250 0.250
Cd 0.625 0.625 0.625

=====

Record 3
A plane-wave DFT calculation with GGA-PBE was carried out for a relaxed K2Cd3In crystal.

Results
**ρ**: 4.762 Mg/m³
**Symmetry**: C2/m, No. 12
**Calculated formation energy**: -2.23 kcal/mol of atoms
**Raw total energy**: -1.3764 eV per atom

a b c (Å): 6.385 6.385 6.403
angles (deg): 90.08 121.00 118.82
Positions (direct):
K 0.251 0.625 0.876
In 0.000 0.000 0.000
K 0.749 0.375 0.124
Cd 0.500 0.000 0.500
Cd 0.500 0.500 0.500
Cd 0.000 0.000 0.500

=====

Record 4
A plane-wave DFT calculation with GGA-PBE was carried out for a relaxed KCd2In8 crystal.

Results
**ρ**: 4.863 Mg/m³
**Energy above the lowest structure with this stoichiometry**: 108 meV per atom
**Symmetry**: P4/mmm, No. 123
**Calculated formation energy**: 3.03 kcal/mol of atoms
**Raw total energy**: -2.1263 eV per atom

a b c (Å): 6.183 6.183 10.560
angles (deg): 90.00 90.00 90.00
Positions (direct):
In 0.249 0.751 0.209
In 0.751 0.249 0.209
Cd 0.500 0.000 0.000
In 0.751 0.751 0.209
In 0.751 0.751 0.791
In 0.249 0.249 0.791
In 0.751 0.249 0.791
In 0.249 0.249 0.209
In 0.249 0.751 0.791
Cd 0.000 0.500 0.000
K 0.500 0.500 0.500

=====

Record 5
A plane-wave DFT calculation with GGA-PBE was carried out for a relaxed KLiCdIn crystal.

Results
**ρ**: 4.200 Mg/m³
**Symmetry**: F-43m, No. 216
**Calculated formation energy**: -1.03 kcal/mol of atoms
**Raw total energy**: -1.7109 eV per atom

a b c (Å): 5.346 5.346 5.346
angles (deg): 60.00 60.00 60.00
Positions (direct):
Li 0.250 0.250 0.250
K 0.500 0.500 0.500
Cd 0.750 0.750 0.750
In 0.000 0.000 0.000

=====

Record 6
A plane-wave DFT calculation with GGA-PBE was carried out for a relaxed KMgCd4In2 crystal.

Results
**ρ**: 5.472 Mg/m³
**Symmetry**: R-3m, No. 166
**Calculated formation energy**: -0.71 kcal/mol of atoms
**Raw total energy**: -1.5096 eV per atom

a b c (Å): 5.006 5.006 10.781
angles (deg): 76.58 76.58 60.00
Positions (direct):
In 0.241 0.241 0.278
In 0.759 0.759 0.722
Mg 0.500 0.500 0.500
Cd 0.865 0.865 0.404
Cd 0.135 0.135 0.596
Cd 0.403 0.403 0.792
K 0.000 0.000 0.000
Cd 0.597 0.597 0.208

=====

Record 7
A plane-wave DFT calculation with GGA-PBE was carried out for a relaxed KMg2CdIn4 crystal.

Results
**ρ**: 4.638 Mg/m³
**Symmetry**: R-3m, No. 166
**Calculated formation energy**: -0.79 kcal/mol of atoms
**Raw total energy**: -2.0539 eV per atom

a b c (Å): 5.065 5.065 11.021
angles (deg): 76.72 76.72 60.00
Positions (direct):
In 0.126 0.126 0.623
In 0.874 0.874 0.377
In 0.597 0.597 0.210
K 0.000 0.000 0.000
Mg 0.769 0.769 0.693
Mg 0.231 0.231 0.307
In 0.403 0.403 0.790
Cd 0.500 0.500 0.500

=====

Record 8
A plane-wave DFT calculation with GGA-PBE was carried out for a relaxed K2MgCd4In3 crystal.

Results
**ρ**: 5.007 Mg/m³
**Symmetry**: P-4m2, No. 115
**Calculated formation energy**: -1.82 kcal/mol of atoms
**Raw total energy**: -1.6455 eV per atom

a b c (Å): 4.822 4.822 12.789
angles (deg): 90.00 90.00 90.00
Positions (direct):
Cd 0.500 0.000 0.638
Cd 0.000 0.000 0.000
In 0.000 0.500 0.136
K 0.500 0.000 0.247
In 0.500 0.000 0.864
Cd 0.000 0.500 0.362
Cd 0.500 0.500 0.000
K 0.000 0.500 0.753
In 0.000 0.000 0.500
Mg 0.500 0.500 0.500

=====

Record 9
A plane-wave DFT calculation with GGA-PBE was carried out for a relaxed K2MgCd3In4 crystal.

Results
**ρ**: 4.970 Mg/m³
**Symmetry**: P-4m2, No. 115
**Calculated formation energy**: -1.94 kcal/mol of atoms
**Raw total energy**: -1.8329 eV per atom

a b c (Å): 4.835 4.835 12.849
angles (deg): 90.00 90.00 90.00
Positions (direct):
Cd 0.000 0.000 0.500
Cd 0.500 0.000 0.860
Mg 0.500 0.500 0.500
In 0.500 0.000 0.634
Cd 0.000 0.500 0.140
In 0.000 0.000 0.000
In 0.500 0.500 0.000
K 0.000 0.500 0.751
In 0.000 0.500 0.366
K 0.500 0.000 0.249

=====

Record 10
A plane-wave DFT calculation with GGA-PBE was carried out for a relaxed KMgCd6In crystal.

Results
**ρ**: 5.249 Mg/m³
**Symmetry**: Imma, No. 74
**Calculated formation energy**: 2.77 kcal/mol of atoms
**Raw total energy**: -1.0932 eV per atom

a b c (Å): 9.980 5.799 10.965
angles (deg): 105.33 117.07 90.00
Positions (direct):
In 0.500 0.000 0.500
Cd 0.339 0.594 0.180
Cd 0.661 0.406 0.820
Cd 0.842 0.086 0.180
Mg 0.500 0.000 0.000
Cd 0.018 0.768 0.036
Cd 0.982 0.232 0.964
Cd 0.339 0.086 0.180
Cd 0.158 0.406 0.820
Cd 0.842 0.594 0.180
Cd 0.661 0.914 0.820
K 0.191 0.441 0.381
Mg 0.500 0.500 0.000
In 0.000 0.000 0.500
Cd 0.158 0.914 0.820
Cd 0.363 0.613 0.726
Cd 0.637 0.387 0.274
K 0.809 0.559 0.619

=====

Record 11
A plane-wave DFT calculation with GGA-PBE was carried out for a relaxed K2Mg3CdIn12 crystal.

Results
**ρ**: 4.894 Mg/m³
**Symmetry**: R-3m, No. 166
**Calculated formation energy**: 0.65 kcal/mol of atoms
**Raw total energy**: -2.2361 eV per atom

a b c (Å): 12.137 12.137 12.137
angles (deg): 36.16 36.16 36.16
Positions (direct):
In 0.584 0.183 0.584
In 0.922 0.363 0.922
Mg 0.500 0.000 0.000
In 0.637 0.078 0.078
Mg 0.000 0.000 0.500
In 0.416 0.416 0.817
In 0.416 0.817 0.416
In 0.922 0.922 0.363
Cd 0.000 0.000 0.000
In 0.817 0.416 0.416
Mg 0.000 0.500 0.000
In 0.078 0.078 0.637
K 0.648 0.648 0.648
In 0.363 0.922 0.922
In 0.183 0.584 0.584
In 0.584 0.584 0.183
In 0.078 0.637 0.078
K 0.352 0.352 0.352

=====

Record 12
A plane-wave DFT calculation with GGA-PBE was carried out for a relaxed KNaCd2In crystal.

Results
**ρ**: 3.475 Mg/m³
**Energy above the lowest structure with this stoichiometry**: 83 meV per atom
**Symmetry**: P4/mmm, No. 123
**Calculated formation energy**: 0.78 kcal/mol of atoms
**Raw total energy**: -1.3634 eV per atom

a b c (Å): 5.688 5.688 5.933
angles (deg): 90.00 90.00 90.00
Positions (direct):
In 0.000 0.000 0.000
Cd 0.500 0.000 0.000
K 0.500 0.500 0.500
Na 0.000 0.000 0.500
Cd 0.000 0.500 0.000